1.
VASP calculation (PBE) on an optimized crystal structure of CeSc14Pb. Values from VASP.

The structure in Quantum ESPRESSO input format:
```
&SYSTEM
  ibrav = 0, nat = 16, ntyp = 3
/
ATOMIC_SPECIES
Ce 140.12 Ce.upf
Sc 44.96 Sc.upf
Pb 207.20 Pb.upf
CELL_PARAMETERS angstrom
10.381 0.000 0.000
0.000 3.348 5.686
0.000 -3.348 5.686
ATOMIC_POSITIONS crystal
Ce 0.000 0.000 0.000
Sc 0.000 0.006 0.514
Sc 0.000 0.514 0.006
Sc 0.246 0.344 0.344
Sc 0.250 0.340 0.845
Sc 0.250 0.845 0.340
Sc 0.260 0.842 0.842
Sc 0.500 0.014 0.014
Sc 0.500 0.016 0.507
Sc 0.500 0.507 0.016
Sc 0.500 0.513 0.513
Sc 0.740 0.842 0.842
Sc 0.750 0.340 0.845
Sc 0.750 0.845 0.340
Sc 0.754 0.344 0.344
Pb 0.000 0.516 0.516
```

Summary:
The calculation puts the calculated volume at 24.7 Å³ per atom. The value obtained for the formation energy is -0.05 eV per atom. The spin magnetization is 0.491 μB/f.u.

***

2.
VASP calculation (PBE) on an optimized crystal structure of BaMg2Fe. Values from VASP.

The structure in Quantum ESPRESSO input format:
```
&SYSTEM
  ibrav = 0, nat = 4, ntyp = 3
/
ATOMIC_SPECIES
Ba 137.33 Ba.upf
Mg 24.30 Mg.upf
Fe 55.84 Fe.upf
CELL_PARAMETERS angstrom
3.099 -5.218 0.000
3.099 5.218 0.000
0.000 0.000 3.227
ATOMIC_POSITIONS crystal
Ba 0.000 0.000 0.000
Mg 0.000 0.500 0.500
Mg 0.500 0.000 0.500
Fe 0.500 0.500 0.000
```

Summary:
The calculation puts the calculated volume at 26.1 Å³ per atom. The value obtained for the formation energy is 0.65 eV per atom. The spin magnetization is 2.396 μB/f.u.

***

3.
VASP calculation (PBE) on an optimized crystal structure of TlCoTe2. Values from VASP.

The structure in Quantum ESPRESSO input format:
```
&SYSTEM
  ibrav = 0, nat = 4, ntyp = 3
/
ATOMIC_SPECIES
Tl 204.38 Tl.upf
Co 58.93 Co.upf
Te 127.60 Te.upf
CELL_PARAMETERS angstrom
3.015 -4.276 0.000
3.015 4.276 0.000
-2.130 0.000 4.161
ATOMIC_POSITIONS crystal
Tl 0.000 0.000 0.000
Co 0.500 0.500 0.000
Te 0.000 0.500 0.500
Te 0.500 0.000 0.500
```

Summary:
For the uncorrected formation energy, the calculation gives 461 meV per atom. The calculation puts the calculated volume at 26.8 Å³ per atom. The spin magnetization is 1.766 μB/f.u.